Here is crystalline CdHW2 at its relaxed geometry from Alexandria via LeMat-Bulk. Energies are from GGA-PBE.

Values from the calculation:
Total magnetic moment ... 0.0 Bohr magnetons per cell
Calculated density ... 13.41 Mg/m³
Polymorph energy (0 for the lowest one) ... 17.18 kcal/mol of atoms

Structure (CIF):
```
data_CdHW2
_cell_length_a 6.199
_cell_length_b 6.199
_cell_length_c 6.199
_cell_angle_alpha 90.00
_cell_angle_beta 90.00
_cell_angle_gamma 90.00
_symmetry_space_group_name_H-M 'F m -3 m'
_symmetry_Int_Tables_number 225
_symmetry_space_group_name_Hall '-F 4 2 3'
loop_
_atom_site_label
_atom_site_type_symbol
_atom_site_fract_x
_atom_site_fract_y
_atom_site_fract_z
Cd1 Cd 0.000 0.000 0.000
H1 H 0.000 0.000 0.500
W1 W 0.250 0.250 0.250
```